The following is a DFT calculation (PBE) of a relaxed structure of AlCuSi.

a = 3.881 Å, b = 3.881 Å, c = 5.931 Å
α = 90.00°, β = 90.00°, γ = 90.00°
Fractional coordinates of all 6 atoms:
Si 0.000 0.500 0.189
Al 0.000 0.000 0.500
Cu 0.500 0.000 0.208
Cu 0.000 0.500 0.792
Si 0.500 0.000 0.811
Al 0.500 0.500 0.500

Mass density (Mg/m³): 4.41
Total DFT energy (no corrections) (eV for the cell shown): -25.815